# 1
MgCoBr2: relaxed, PBE.

CIF file:
```
data_MgCoBr2
_chemical_formula_sum 'Mg2 Co2 Br4'
_symmetry_space_group_name_H-M 'C 1 2/m 1'
_symmetry_Int_Tables_number 12
_cell_length_a 6.952
_cell_length_b 4.003
_cell_length_c 6.518
_cell_angle_alpha 90.00
_cell_angle_beta 110.69
_cell_angle_gamma 90.00
loop_
_symmetry_equiv_pos_as_xyz
'x,y,z'
'-x,-y,-z'
'-x,y,-z'
'x,-y,z'
'x+1/2,y+1/2,z'
'-x+1/2,-y+1/2,-z'
'-x+1/2,y+1/2,-z'
'x+1/2,-y+1/2,z'
loop_
_atom_site_label
_atom_site_fract_x
_atom_site_fract_y
_atom_site_fract_z
Mg1 0.000 0.000 0.000
Co1 0.000 0.500 0.500
Br1 0.239 0.000 0.716
```

Output
D(E_F), states/eV/cell: 4.40
Relative energy among the computed polymorphs, kJ/mol of formula units: 115.2


# 2
MgCo2Br: relaxed, PBE.

CIF file:
```
data_MgCo2Br
_chemical_formula_sum 'Mg4 Co8 Br4'
_symmetry_space_group_name_H-M 'F m -3 m'
_symmetry_Int_Tables_number 225
_symmetry_space_group_name_Hall '-F 4 2 3'
_cell_length_a 6.198
_cell_length_b 6.198
_cell_length_c 6.198
_cell_angle_alpha 90.00
_cell_angle_beta 90.00
_cell_angle_gamma 90.00
loop_
_atom_site_label
_atom_site_fract_x
_atom_site_fract_y
_atom_site_fract_z
Mg1 0.000 0.000 0.000
Co1 0.250 0.250 0.250
Br1 0.000 0.000 0.500
```

Output
D(E_F), states/eV/cell: 11.29
Relative energy among the computed polymorphs, kJ/mol of formula units: 232.2


# 3
MgCo2Br: relaxed, PBE.

CIF file:
```
data_MgCo2Br
_chemical_formula_sum 'Mg1 Co2 Br1'
_symmetry_space_group_name_H-M 'P 3 m 1'
_symmetry_Int_Tables_number 156
_cell_length_a 3.7636
_cell_length_b 3.7636
_cell_length_c 6.2224
_cell_angle_alpha 90.00
_cell_angle_beta 90.00
_cell_angle_gamma 120.00
loop_
_symmetry_equiv_pos_as_xyz
'x,y,z'
'-y,x-y,z'
'-x+y,-x,z'
'-y,-x,z'
'-x+y,y,z'
'x,x-y,z'
loop_
_atom_site_label
_atom_site_fract_x
_atom_site_fract_y
_atom_site_fract_z
Mg1 0.0000 0.0000 0.0000
Co1 0.3333 0.6667 0.7336
Co2 0.6667 0.3333 0.6837
Br1 0.6667 0.3333 0.2884
```

Output
D(E_F), states/eV/cell: 2.71
Relative energy among the computed polymorphs, kJ/mol of formula units: 0.0


# 4
MgCo2Br: relaxed, PBE.

CIF file:
```
data_MgCo2Br
_chemical_formula_sum 'Mg1 Co2 Br1'
_symmetry_space_group_name_H-M 'P 4/m m m'
_symmetry_Int_Tables_number 123
_symmetry_space_group_name_Hall '-P 4 2'
_cell_length_a 4.255
_cell_length_b 4.255
_cell_length_c 3.207
_cell_angle_alpha 90.00
_cell_angle_beta 90.00
_cell_angle_gamma 90.00
loop_
_atom_site_label
_atom_site_fract_x
_atom_site_fract_y
_atom_site_fract_z
Mg1 0.000 0.000 0.000
Co1 0.000 0.500 0.500
Br1 0.500 0.500 0.000
```

Output
D(E_F), states/eV/cell: 3.94
Relative energy among the computed polymorphs, kJ/mol of formula units: 201.2


# 5
MgCoBr2: relaxed, PBE.

CIF file:
```
data_MgCoBr2
_chemical_formula_sum 'Mg3 Co3 Br6'
_symmetry_space_group_name_H-M 'R 3 m'
_symmetry_Int_Tables_number 160
_symmetry_space_group_name_Hall 'R 3 -2"'
_cell_length_a 3.7134
_cell_length_b 3.7134
_cell_length_c 25.9666
_cell_angle_alpha 90.00
_cell_angle_beta 90.00
_cell_angle_gamma 120.00
loop_
_atom_site_label
_atom_site_fract_x
_atom_site_fract_y
_atom_site_fract_z
Mg1 0.0000 0.0000 0.0000
Co1 0.0000 0.0000 0.7460
Br1 0.0000 0.0000 0.2722
Br2 0.0000 0.0000 0.4528
```

Output
D(E_F), states/eV/cell: 2.47
Relative energy among the computed polymorphs, kJ/mol of formula units: 9.3


# 6
MgCoBr2: relaxed, PBE.

CIF file:
```
data_MgCoBr2
_chemical_formula_sum 'Mg2 Co2 Br4'
_symmetry_space_group_name_H-M 'I -4 m 2'
_symmetry_Int_Tables_number 119
_symmetry_space_group_name_Hall 'I -4 -2'
_cell_length_a 3.797
_cell_length_b 3.797
_cell_length_c 12.401
_cell_angle_alpha 90.00
_cell_angle_beta 90.00
_cell_angle_gamma 90.00
loop_
_atom_site_label
_atom_site_fract_x
_atom_site_fract_y
_atom_site_fract_z
Mg1 0.000 0.000 0.000
Co1 0.000 0.500 0.250
Br1 0.000 0.000 0.500
Br2 0.000 0.500 0.750
```

Output
D(E_F), states/eV/cell: 11.15
Relative energy among the computed polymorphs, kJ/mol of formula units: 170.7


# 7
MgCo4Br: relaxed, PBE.

CIF file:
```
data_MgCo4Br
_chemical_formula_sum 'Mg4 Co16 Br4'
_symmetry_space_group_name_H-M 'F -4 3 m'
_symmetry_Int_Tables_number 216
_symmetry_space_group_name_Hall 'F -4 2 3'
_cell_length_a 6.995
_cell_length_b 6.995
_cell_length_c 6.995
_cell_angle_alpha 90.00
_cell_angle_beta 90.00
_cell_angle_gamma 90.00
loop_
_atom_site_label
_atom_site_fract_x
_atom_site_fract_y
_atom_site_fract_z
Mg1 0.000 0.000 0.000
Co1 0.125 0.125 0.375
Br1 0.250 0.250 0.750
```

Output
D(E_F), states/eV/cell: 25.54


# 8
Mg2CoBr: relaxed, PBE.

CIF file:
```
data_Mg2CoBr
_chemical_formula_sum 'Mg2 Co1 Br1'
_symmetry_space_group_name_H-M 'P 1 2/m 1'
_symmetry_Int_Tables_number 10
_cell_length_a 3.279
_cell_length_b 3.207
_cell_length_c 7.476
_cell_angle_alpha 90.00
_cell_angle_beta 90.08
_cell_angle_gamma 90.00
loop_
_symmetry_equiv_pos_as_xyz
'x,y,z'
'-x,-y,-z'
'-x,y,-z'
'x,-y,z'
loop_
_atom_site_label
_atom_site_fract_x
_atom_site_fract_y
_atom_site_fract_z
Mg1 0.000 0.000 0.197
Co1 0.500 0.500 0.000
Br1 0.000 0.500 0.500
```

Output
D(E_F), states/eV/cell: 3.16
Relative energy among the computed polymorphs, kJ/mol of formula units: 0.0


| no. | E (eV/atom) |
| --- | --- |
| 1 | -3.075 |
| 2 | -3.707 |
| 3 | -4.309 |
| 4 | -3.787 |
| 5 | -3.350 |
| 6 | -2.932 |
| 7 | -4.845 |
| 8 | -3.151 |